{"formula": "SiTeSe2", "functional": "GGA-PBE", "state": "relaxed", "dos_ef_per_ev_fu": 2.0, "magmom_total_mub_per_fu": 0.00, "final_energy_ev_per_fu": -14.97, "lattice_angstrom": [[1.988, 1.148, 6.716], [-1.988, 1.148, 6.716], [0.000, -2.296, 6.716]], "species": ["Si", "Te", "Se", "Se"], "frac_coords": [[0.000, 0.000, 0.000], [0.746, 0.746, 0.746], [0.266, 0.266, 0.266], [0.505, 0.505, 0.505]]}